(1)
# SCAN Hg3IrO, PBEsol geometry
data_Hg3IrO
_chemical_formula_sum 'Hg3 Ir1 O1'
_symmetry_space_group_name_H-M 'P m -3 m'
_symmetry_Int_Tables_number 221
_symmetry_space_group_name_Hall '-P 4 2 3'
_cell_length_a 5.155
_cell_length_b 5.155
_cell_length_c 5.155
_cell_angle_alpha 90.00
_cell_angle_beta 90.00
_cell_angle_gamma 90.00
loop_
_atom_site_label
_atom_site_fract_x
_atom_site_fract_y
_atom_site_fract_z
Hg1 0.000 0.000 0.500
Ir1 0.000 0.000 0.000
O1 0.500 0.500 0.500
# Electronic total energy ... -55.498 eV/atom
# E_form (uncorrected) ... 868 meV per atom

(2)
# SCAN YMgTe2, PBEsol geometry
data_YMgTe2
_chemical_formula_sum 'Y1 Mg1 Te2'
_symmetry_space_group_name_H-M 'P 4/m m m'
_symmetry_Int_Tables_number 123
_symmetry_space_group_name_Hall '-P 4 2'
_cell_length_a 4.255
_cell_length_b 4.255
_cell_length_c 6.117
_cell_angle_alpha 90.00
_cell_angle_beta 90.00
_cell_angle_gamma 90.00
loop_
_atom_site_label
_atom_site_fract_x
_atom_site_fract_y
_atom_site_fract_z
Y1 0.000 0.000 0.000
Mg1 0.500 0.500 0.500
Te1 0.000 0.000 0.500
Te2 0.500 0.500 0.000
# ΔE to the lowest computed polymorph ... 33.8 meV per atom
# Electronic total energy ... -27.975 eV/atom
# E_form (uncorrected) ... -1146 meV per atom

(3)
# SCAN TaMo, PBEsol geometry
data_TaMo
_chemical_formula_sum 'Ta12 Mo12'
_symmetry_space_group_name_H-M 'R 3 m'
_symmetry_Int_Tables_number 160
_symmetry_space_group_name_Hall 'R 3 -2"'
_cell_length_a 4.5314
_cell_length_b 4.5314
_cell_length_c 21.9903
_cell_angle_alpha 90.00
_cell_angle_beta 90.00
_cell_angle_gamma 120.00
loop_
_atom_site_label
_atom_site_fract_x
_atom_site_fract_y
_atom_site_fract_z
Ta1 0.0000 0.0000 0.0000
Ta2 0.0000 0.0000 0.1283
Ta3 0.0000 0.0000 0.3786
Ta4 0.0000 0.0000 0.6251
Mo1 0.0000 0.0000 0.2512
Mo2 0.0000 0.0000 0.5032
Mo3 0.0000 0.0000 0.7529
Mo4 0.0000 0.0000 0.8754
# Energy of formation from the pure elements ... -3.0 kcal/mol of atoms
# Electronic total energy ... -50.865 eV/atom

(4)
# SCAN K2HgW, PBEsol geometry
data_K2HgW
_chemical_formula_sum 'K6 Hg3 W3'
_symmetry_space_group_name_H-M 'R -3 m'
_symmetry_Int_Tables_number 166
_symmetry_space_group_name_Hall '-R 3 2"'
_cell_length_a 3.0067
_cell_length_b 3.0067
_cell_length_c 36.4624
_cell_angle_alpha 90.00
_cell_angle_beta 90.00
_cell_angle_gamma 120.00
loop_
_atom_site_label
_atom_site_fract_x
_atom_site_fract_y
_atom_site_fract_z
K1 0.0000 0.0000 0.2484
Hg1 0.0000 0.0000 0.0000
W1 0.0000 0.0000 0.5000
# Energy of formation from the pure elements ... 24.6 kcal/mol of atoms
# Electronic total energy ... -37.560 eV/atom

(5)
# SCAN YPbI2O, PBEsol geometry
data_YPbI2O
_chemical_formula_sum 'Y1 Pb1 I2 O1'
_symmetry_space_group_name_H-M 'P 4/m m m'
_symmetry_Int_Tables_number 123
_symmetry_space_group_name_Hall '-P 4 2'
_cell_length_a 6.132
_cell_length_b 6.132
_cell_length_c 4.111
_cell_angle_alpha 90.00
_cell_angle_beta 90.00
_cell_angle_gamma 90.00
loop_
_atom_site_label
_atom_site_fract_x
_atom_site_fract_y
_atom_site_fract_z
Y1 0.000 0.000 0.000
Pb1 0.500 0.500 0.500
I1 0.000 0.500 0.000
O1 0.000 0.000 0.500
# Electronic total energy ... -38.044 eV/atom
# E_form (uncorrected) ... -1377 meV per atom

(6)
# SCAN Cd2TcCl, PBEsol geometry
data_Cd2TcCl
_chemical_formula_sum 'Cd8 Tc4 Cl4'
_symmetry_space_group_name_H-M 'F m -3 m'
_symmetry_Int_Tables_number 225
_symmetry_space_group_name_Hall '-F 4 2 3'
_cell_length_a 6.793
_cell_length_b 6.793
_cell_length_c 6.793
_cell_angle_alpha 90.00
_cell_angle_beta 90.00
_cell_angle_gamma 90.00
loop_
_atom_site_label
_atom_site_fract_x
_atom_site_fract_y
_atom_site_fract_z
Cd1 0.250 0.250 0.250
Tc1 0.000 0.000 0.000
Cl1 0.000 0.000 0.500
# ΔE to the lowest computed polymorph ... 622.0 meV per atom
# Electronic total energy ... -25.279 eV/atom
# E_form (uncorrected) ... 688 meV per atom

(7)
# SCAN Cs3SbI6, PBEsol geometry
data_Cs3SbI6
_chemical_formula_sum 'Cs12 Sb4 I24'
_symmetry_space_group_name_H-M 'F m -3 m'
_symmetry_Int_Tables_number 225
_symmetry_space_group_name_Hall '-F 4 2 3'
_cell_length_a 12.978
_cell_length_b 12.978
_cell_length_c 12.978
_cell_angle_alpha 90.00
_cell_angle_beta 90.00
_cell_angle_gamma 90.00
loop_
_atom_site_label
_atom_site_fract_x
_atom_site_fract_y
_atom_site_fract_z
Cs1 0.000 0.000 0.000
Cs2 0.250 0.250 0.250
Sb1 0.000 0.000 0.500
I1 0.000 0.000 0.270
# Electronic total energy ... -38.225 eV/atom
# E_form (uncorrected) ... -1111 meV per atom

(8)
# SCAN CaSbIr2, PBEsol geometry
data_CaSbIr2
_chemical_formula_sum 'Ca2 Sb2 Ir4'
_symmetry_space_group_name_H-M 'C 1 2/m 1'
_symmetry_Int_Tables_number 12
_cell_length_a 9.130
_cell_length_b 3.028
_cell_length_c 5.363
_cell_angle_alpha 90.00
_cell_angle_beta 98.64
_cell_angle_gamma 90.00
loop_
_symmetry_equiv_pos_as_xyz
'x,y,z'
'-x,-y,-z'
'-x,y,-z'
'x,-y,z'
'x+1/2,y+1/2,z'
'-x+1/2,-y+1/2,-z'
'-x+1/2,y+1/2,-z'
'x+1/2,-y+1/2,z'
loop_
_atom_site_label
_atom_site_fract_x
_atom_site_fract_y
_atom_site_fract_z
Ca1 0.000 0.000 0.000
Sb1 0.000 0.500 0.500
Ir1 0.247 0.000 0.712
# Electronic total energy ... -47.289 eV/atom
# E_form (uncorrected) ... -9 meV per atom

(9)
# SCAN Cr2CoTc, PBEsol geometry
data_Cr2CoTc
_chemical_formula_sum 'Cr4 Co2 Tc2'
_symmetry_space_group_name_H-M 'I m m 2'
_symmetry_Int_Tables_number 44
_cell_length_a 2.927
_cell_length_b 4.023
_cell_length_c 7.971
_cell_angle_alpha 90.00
_cell_angle_beta 90.00
_cell_angle_gamma 90.00
loop_
_symmetry_equiv_pos_as_xyz
'x,y,z'
'-x,-y,z'
'-x,y,z'
'x,-y,z'
'x+1/2,y+1/2,z+1/2'
'-x+1/2,-y+1/2,z+1/2'
'-x+1/2,y+1/2,z+1/2'
'x+1/2,-y+1/2,z+1/2'
loop_
_atom_site_label
_atom_site_fract_x
_atom_site_fract_y
_atom_site_fract_z
Cr1 0.000 0.000 0.000
Cr2 0.000 0.500 0.276
Co1 0.000 0.000 0.518
Tc1 0.000 0.500 0.749
# Energy of formation from the pure elements ... 2.4 kcal/mol of atoms
# Electronic total energy ... -22.179 eV/atom

(10)
# SCAN CdSb2, PBEsol geometry
data_CdSb2
_chemical_formula_sum 'Cd4 Sb8'
_symmetry_space_group_name_H-M 'C 1 2/m 1'
_symmetry_Int_Tables_number 12
_cell_length_a 13.277
_cell_length_b 3.101
_cell_length_c 8.582
_cell_angle_alpha 90.00
_cell_angle_beta 114.18
_cell_angle_gamma 90.00
loop_
_symmetry_equiv_pos_as_xyz
'x,y,z'
'-x,-y,-z'
'-x,y,-z'
'x,-y,z'
'x+1/2,y+1/2,z'
'-x+1/2,-y+1/2,-z'
'-x+1/2,y+1/2,-z'
'x+1/2,-y+1/2,z'
loop_
_atom_site_label
_atom_site_fract_x
_atom_site_fract_y
_atom_site_fract_z
Cd1 0.087 0.000 0.360
Sb1 0.089 0.500 0.920
Sb2 0.206 0.500 0.688
# Electronic total energy ... -34.893 eV/atom
# E_form (uncorrected) ... 85 meV per atom

(11)
# SCAN TmMgGa, PBEsol geometry
data_TmMgGa
_chemical_formula_sum 'Tm3 Mg3 Ga3'
_symmetry_space_group_name_H-M 'P -6 2 m'
_symmetry_Int_Tables_number 189
_symmetry_space_group_name_Hall 'P -6 -2'
_cell_length_a 7.1109
_cell_length_b 7.1109
_cell_length_c 4.3491
_cell_angle_alpha 90.00
_cell_angle_beta 90.00
_cell_angle_gamma 120.00
loop_
_atom_site_label
_atom_site_fract_x
_atom_site_fract_y
_atom_site_fract_z
Tm1 0.0000 0.4278 0.0000
Mg1 0.0000 0.7559 0.5000
Ga1 0.0000 0.0000 0.0000
Ga2 0.3333 0.6667 0.5000
# Energy of formation from the pure elements ... -12.4 kcal/mol of atoms
# Electronic total energy ... -24.921 eV/atom

(12)
# SCAN Zr2CoSi2, PBEsol geometry
data_Zr2CoSi2
_chemical_formula_sum 'Zr8 Co4 Si8'
_symmetry_space_group_name_H-M 'C 1 2/m 1'
_symmetry_Int_Tables_number 12
_cell_length_a 9.835
_cell_length_b 3.847
_cell_length_c 9.372
_cell_angle_alpha 90.00
_cell_angle_beta 118.51
_cell_angle_gamma 90.00
loop_
_symmetry_equiv_pos_as_xyz
'x,y,z'
'-x,-y,-z'
'-x,y,-z'
'x,-y,z'
'x+1/2,y+1/2,z'
'-x+1/2,-y+1/2,-z'
'-x+1/2,y+1/2,-z'
'x+1/2,-y+1/2,z'
loop_
_atom_site_label
_atom_site_fract_x
_atom_site_fract_y
_atom_site_fract_z
Zr1 0.002 0.000 0.175
Zr2 0.188 0.000 0.602
Co1 0.222 0.500 0.874
Si1 0.013 0.500 0.376
Si2 0.144 0.500 0.070
# Electronic total energy ... -20.633 eV/atom
# E_form (uncorrected) ... -887 meV per atom